Entry 1:
DFT (PBE) results for a relaxed structure of La3I2Br2.

a b c (Å): 4.149 7.410 8.110
angles (deg): 102.76 90.02 106.25
Atoms (fractional coordinates):
La  0.000  0.000  0.000
La  0.737  0.473  0.200
La  0.263  0.527  0.800
I  0.878  0.757  0.602
I  0.122  0.243  0.398
Br  0.611  0.222  0.830
Br  0.389  0.778  0.170

Values from the calculation:
Fermi-level density of states: 0.76 states/eV per atom
spin magnetization: 0.000 μB/atom
energy: -4.3967 eV/atom
crystal system: triclinic

=====

Entry 2:
DFT (PBE) results for a relaxed structure of LaIBr.

a b c (Å): 5.413 5.415 8.232
angles (deg): 90.00 108.52 90.00
Atoms (fractional coordinates):
La  0.250  0.250  0.500
La  0.750  0.750  0.500
I  0.874  0.250  0.758
I  0.126  0.750  0.242
Br  0.648  0.250  0.290
Br  0.352  0.750  0.710

Values from the calculation:
Fermi-level density of states: 0.37 states/eV per atom
spin magnetization: 0.000 μB/atom
energy above the most stable polymorph in this dataset: 0.000 eV/atom
energy: -4.3199 eV/atom
crystal system: monoclinic

=====

Entry 3:
DFT (PBE) results for a relaxed structure of La2I3Br.

a b c (Å): 8.114 8.540 8.540
angles (deg): 120.00 90.00 90.00
Atoms (fractional coordinates):
La  0.000  0.000  0.000
La  0.000  0.500  0.000
La  0.000  0.000  0.500
La  0.000  0.500  0.500
I  0.739  0.167  0.833
I  0.739  0.666  0.833
I  0.739  0.167  0.334
I  0.261  0.833  0.666
I  0.261  0.833  0.167
I  0.261  0.334  0.167
Br  0.219  0.333  0.667
Br  0.781  0.667  0.333

Values from the calculation:
Fermi-level density of states: 0.72 states/eV per atom
spin magnetization: 0.000 μB/atom
energy: -4.1690 eV/atom
crystal system: trigonal

=====

Entry 4:
DFT (PBE) results for a relaxed structure of La2I2Br.

a b c (Å): 6.352 7.566 8.960
angles (deg): 111.12 90.00 114.82
Atoms (fractional coordinates):
La  0.162  0.324  0.574
La  0.838  0.676  0.426
La  0.510  0.021  0.281
La  0.490  0.979  0.719
I  0.699  0.399  0.647
I  0.301  0.601  0.353
I  0.021  0.042  0.796
I  0.979  0.958  0.204
Br  0.348  0.697  0.911
Br  0.652  0.303  0.089

Values from the calculation:
Fermi-level density of states: 0.70 states/eV per atom
spin magnetization: 0.000 μB/atom
energy above the most stable polymorph in this dataset: 0.013 eV/atom
energy: -4.2879 eV/atom
crystal system: monoclinic

=====

Entry 5:
DFT (PBE) results for a relaxed structure of La3I3Br.

a b c (Å): 10.869 10.869 10.869
angles (deg): 109.47 109.47 109.47
Atoms (fractional coordinates):
La  0.971  0.485  0.235
La  0.515  0.029  0.265
La  0.250  0.015  0.485
La  0.985  0.750  0.015
La  0.985  0.235  0.471
La  0.765  0.015  0.029
La  0.735  0.471  0.485
La  0.765  0.750  0.235
La  0.529  0.265  0.015
La  0.250  0.235  0.265
La  0.735  0.265  0.750
La  0.515  0.485  0.750
I  0.239  0.989  0.979
I  0.750  0.761  0.739
I  0.479  0.739  0.989
I  0.011  0.250  0.989
I  0.261  0.739  0.250
I  0.489  0.511  0.250
I  0.239  0.250  0.761
I  0.261  0.521  0.511
I  0.750  0.989  0.511
I  0.021  0.511  0.761
I  0.011  0.761  0.521
I  0.489  0.979  0.739
Br  0.750  0.500  0.000
Br  0.500  0.250  0.500
Br  0.750  0.250  0.250
Br  0.000  0.000  0.250

Values from the calculation:
Fermi-level density of states: 0.38 states/eV per atom
spin magnetization: 0.000 μB/atom
energy: -4.2787 eV/atom
crystal system: cubic

=====

Entry 6:
DFT (PBE) results for a relaxed structure of LaIBr.

a b c (Å): 3.842 3.844 8.012
angles (deg): 103.89 89.74 90.00
Atoms (fractional coordinates):
La  0.332  0.935  0.158
I  0.835  0.310  0.908
Br  0.830  0.544  0.376

Values from the calculation:
Fermi-level density of states: 0.62 states/eV per atom
spin magnetization: 0.000 μB/atom
energy above the most stable polymorph in this dataset: 0.015 eV/atom
energy: -4.3049 eV/atom
crystal system: monoclinic

=====

Entry 7:
DFT (PBE) results for a relaxed structure of La3IBr3.

a b c (Å): 11.612 11.612 11.612
angles (deg): 37.69 37.69 37.69
Last column: magnetic moment on the atom in μB.
Atoms (fractional coordinates):
La  0.640  0.248  0.944  0.18
La  0.248  0.944  0.640  0.18
La  0.944  0.640  0.248  0.18
La  0.056  0.360  0.752  0.18
La  0.752  0.056  0.360  0.18
La  0.360  0.752  0.056  0.18
I  0.333  0.333  0.333  0.01
I  0.667  0.667  0.667  0.01
Br  0.762  0.461  0.111  0.00
Br  0.111  0.762  0.461  0.00
Br  0.461  0.111  0.762  0.00
Br  0.539  0.889  0.238  0.00
Br  0.889  0.238  0.539  0.00
Br  0.238  0.539  0.889  0.00

Values from the calculation:
Fermi-level density of states: 0.60 states/eV per atom
spin magnetization: 0.181 μB/atom
energy: -4.4136 eV/atom
crystal system: trigonal

=====

Entry 8:
DFT (PBE) results for a relaxed structure of La4I2Br5.

a b c (Å): 3.992 8.323 12.906
angles (deg): 78.09 98.90 90.00
Last column: magnetic moment on the atom in μB.
Atoms (fractional coordinates):
La  0.334  0.421  0.668  0.35
La  0.965  0.295  0.930  0.31
La  0.666  0.579  0.332  0.35
La  0.035  0.705  0.070  0.31
I  0.430  0.628  0.859  0.01
I  0.570  0.372  0.141  0.01
Br  0.865  0.143  0.731  0.01
Br  0.135  0.857  0.269  0.01
Br  0.776  0.681  0.553  0.01
Br  0.500  0.000  0.000  0.01
Br  0.224  0.319  0.447  0.01

Values from the calculation:
Fermi-level density of states: 0.42 states/eV per atom
spin magnetization: 0.272 μB/atom
energy: -4.3997 eV/atom
crystal system: monoclinic

=====

Entry 9:
DFT (PBE) results for a relaxed structure of La2I2Br.

a b c (Å): 4.448 4.448 11.555
angles (deg): 78.90 78.90 60.00
Atoms (fractional coordinates):
La  0.620  0.620  0.140
La  0.380  0.380  0.860
I  0.227  0.227  0.320
I  0.773  0.773  0.680
Br  0.000  0.000  0.000

Values from the calculation:
Fermi-level density of states: 0.55 states/eV per atom
spin magnetization: 0.000 μB/atom
energy above the most stable polymorph in this dataset: 0.000 eV/atom
energy: -4.3010 eV/atom
crystal system: trigonal

=====

Entry 10:
DFT (PBE) results for a relaxed structure of La3IBr.

a b c (Å): 5.688 5.688 5.688
angles (deg): 90.00 90.00 90.00
Last column: magnetic moment on the atom in μB.
Atoms (fractional coordinates):
I  0.500  0.500  0.500  0.01
Br  0.000  0.000  0.000  0.00
La  0.000  0.500  0.000  0.05
La  0.000  0.000  0.500  0.03
La  0.500  0.000  0.000  0.07

Values from the calculation:
Fermi-level density of states: 1.63 states/eV per atom
spin magnetization: 0.104 μB/atom
energy above the most stable polymorph in this dataset: 0.000 eV/atom
energy: -3.9779 eV/atom
crystal system: cubic

=====

Entry 11:
DFT (PBE) results for a relaxed structure of LaIBr6.

a b c (Å): 8.661 9.390 7.754
angles (deg): 56.67 56.89 40.79
Atoms (fractional coordinates):
La  0.500  0.500  0.500
I  0.000  0.000  0.000
Br  0.096  0.532  0.672
Br  0.714  0.070  0.861
Br  0.584  0.233  0.304
Br  0.286  0.930  0.139
Br  0.904  0.468  0.328
Br  0.416  0.767  0.696

Values from the calculation:
spin magnetization: 0.000 μB/atom
energy: -2.9706 eV/atom
crystal system: triclinic

=====

Entry 12:
DFT (PBE) results for a relaxed structure of La4I5Br.

a b c (Å): 4.228 9.350 10.133
angles (deg): 104.62 102.04 90.00
Atoms (fractional coordinates):
La  0.654  0.062  0.308
La  0.994  0.221  0.988
La  0.346  0.938  0.692
La  0.006  0.779  0.012
I  0.162  0.334  0.325
I  0.175  0.806  0.349
I  0.825  0.194  0.651
I  0.500  0.500  0.000
I  0.838  0.666  0.675
Br  0.500  0.000  0.000

Values from the calculation:
Fermi-level density of states: 0.44 states/eV per atom
spin magnetization: 0.000 μB/atom
energy: -4.2255 eV/atom
crystal system: monoclinic

=====

Formation energy without anion corrections, respectively: -1364, -1603, -1473, -1362, -1264, -1588, -1363, -1566, -1375, -377, -906, -1312 meV per atom.